(1)
CsAuSCl2 | PBE | relaxed

It has space group P4/mmm (No. 123), with a = 5.4513 Å, b = 5.4513 Å, c = 4.7750 Å, α = 90.00°, β = 90.00° and γ = 90.00°. The inequivalent atoms are Cs at (0.0000, 0.0000, 0.0000), Au at (0.5000, 0.5000, 0.5000), S at (0.5000, 0.5000, 0.0000) and Cl at (0.0000, 0.5000, 0.5000).

The value obtained for the formation energy from raw total energies is -598.7 meV per atom. The value obtained for the volume is 28.38 Å³ per atom. The energy is -0.10985 Ha/atom. The value obtained for the density of states at the Fermi level is 0.6799 states/eV/atom.

***

(2)
CsAuSCl2 | PBE | relaxed

It has space group P4/mmm (No. 123), with a = 6.2757 Å, b = 6.2757 Å, c = 5.6246 Å, α = 90.00°, β = 90.00° and γ = 90.00°. The inequivalent atoms are Cs at (0.0000, 0.0000, 0.0000), Au at (0.5000, 0.5000, 0.5000), S at (0.0000, 0.0000, 0.5000) and Cl at (0.0000, 0.5000, 0.0000).

The value obtained for the formation energy from raw total energies is 630.4 meV per atom. The value obtained for the volume is 44.30 Å³ per atom. The energy is -0.06468 Ha/atom. The value obtained for the density of states at the Fermi level is 1.6159 states/eV/atom.

***

(3)
Cs2SbAuCl6 | PBE | relaxed

It has space group Fm-3m (No. 225), with a = 10.8217 Å, b = 10.8217 Å, c = 10.8217 Å, α = 90.00°, β = 90.00° and γ = 90.00°. The inequivalent atoms are Cs at (0.2500, 0.2500, 0.2500), Sb at (0.0000, 0.0000, 0.0000), Au at (0.0000, 0.0000, 0.5000) and Cl at (0.0000, 0.0000, 0.2474).

The value obtained for the formation energy from raw total energies is -1178.9 meV per atom. The value obtained for the volume is 31.68 Å³ per atom. The energy is -0.11751 Ha/atom.

***

(4)
Cs2ScAuCl6 | PBE | relaxed

It has space group I4/mmm (No. 139), with a = 8.0966 Å, b = 8.0966 Å, c = 9.8586 Å, α = 90.00°, β = 90.00° and γ = 90.00°. The inequivalent atoms are Cs at (0.0000, 0.5000, 0.2500), Sc at (0.0000, 0.0000, 0.0000), Au at (0.0000, 0.0000, 0.5000), Cl at (0.0000, 0.0000, 0.2627) and Cl at (0.2157, 0.2157, 0.0000).

The value obtained for the formation energy from raw total energies is -1681.3 meV per atom. The value obtained for the volume is 32.31 Å³ per atom. The energy is -0.14409 Ha/atom. The value obtained for the density of states at the Fermi level is 0.0000 states/eV/atom.

***

(5)
Cs6Au2SeCl | PBE | relaxed

It has space group P2_1/c (No. 14), with a = 8.9544 Å, b = 9.4924 Å, c = 15.2360 Å, α = 90.00°, β = 121.85° and γ = 90.00°. The inequivalent atoms are Cs at (0.1081, 0.0616, 0.2514), Cs at (0.2656, 0.6967, 0.0797), Cs at (0.3748, 0.1845, 0.0633), Au at (0.3028, 0.0859, 0.7662), Se at (0.0000, 0.0000, 0.0000) and Cl at (0.5000, 0.0000, 0.5000).

The value obtained for the formation energy from raw total energies is -800.4 meV per atom. The value obtained for the volume is 55.00 Å³ per atom. The energy is -0.09191 Ha/atom. The value obtained for the density of states at the Fermi level is 0.5208 states/eV/atom.

***

(6)
Cs2AuSeCl6 | PBE | relaxed

It has space group C2/m (No. 12), with a = 11.2366 Å, b = 10.2463 Å, c = 7.9398 Å, α = 90.00°, β = 134.96° and γ = 90.00°. The inequivalent atoms are Cs at (0.0000, 0.2501, 0.0000), Au at (0.0000, 0.0000, 0.5000), Se at (0.0000, 0.5000, 0.5000), Cl at (0.0000, 0.2552, 0.5000), Cl at (0.2093, 0.0000, 0.9190) and Cl at (0.2159, 0.5000, 0.5000).

The value obtained for the formation energy from raw total energies is -987.1 meV per atom. The value obtained for the volume is 32.34 Å³ per atom. The energy is -0.10811 Ha/atom. The value obtained for the density of states at the Fermi level is 0.2866 states/eV/atom.

***

(7)
Cs2SnAuCl6 | PBE | relaxed

It has space group I4/mmm (No. 139), with a = 7.5327 Å, b = 7.5327 Å, c = 10.8871 Å, α = 90.00°, β = 90.00° and γ = 90.00°. The inequivalent atoms are Cs at (0.0000, 0.5000, 0.2500), Sn at (0.0000, 0.0000, 0.0000), Au at (0.0000, 0.0000, 0.5000), Cl at (0.0000, 0.0000, 0.2448) and Cl at (0.2491, 0.2491, 0.5000).

The value obtained for the formation energy from raw total energies is -1232.3 meV per atom. The value obtained for the volume is 30.89 Å³ per atom. The energy is -0.11903 Ha/atom. The value obtained for the density of states at the Fermi level is 0.1491 states/eV/atom.

***

(8)
Cs2SrAu2Cl6 | PBE | relaxed

It has space group C2/m (No. 12), with a = 14.3276 Å, b = 7.6831 Å, c = 8.2623 Å, α = 90.00°, β = 122.82° and γ = 90.00°. The inequivalent atoms are Cs at (0.2317, 0.0000, 0.2102), Sr at (0.0000, 0.0000, 0.5000), Au at (0.0662, 0.5000, 0.2189), Cl at (0.0568, 0.2516, 0.7996) and Cl at (0.2379, 0.0000, 0.6568).

The value obtained for the formation energy from raw total energies is -1400.3 meV per atom. The value obtained for the volume is 34.74 Å³ per atom. The energy is -0.12170 Ha/atom. The value obtained for the density of states at the Fermi level is 0.0000 states/eV/atom.

***

(9)
Cs2TaAuCl6 | PBE | relaxed

It has space group Fm-3m (No. 225), with a = 11.2799 Å, b = 11.2799 Å, c = 11.2799 Å, α = 90.00°, β = 90.00° and γ = 90.00°. The inequivalent atoms are Cs at (0.2500, 0.2500, 0.2500), Ta at (0.0000, 0.0000, 0.0000), Au at (0.0000, 0.0000, 0.5000) and Cl at (0.0000, 0.0000, 0.2133).

The value obtained for the formation energy from raw total energies is -1220.0 meV per atom. The value obtained for the volume is 35.88 Å³ per atom. The energy is -0.14743 Ha/atom. The value obtained for the density of states at the Fermi level is 0.9272 states/eV/atom.

***

(10)
Cs2TcAuCl6 | PBE | relaxed

It has space group I4/mmm (No. 139), with a = 7.9582 Å, b = 7.9582 Å, c = 10.4243 Å, α = 90.00°, β = 90.00° and γ = 90.00°. The inequivalent atoms are Cs at (0.0000, 0.5000, 0.2500), Tc at (0.0000, 0.0000, 0.0000), Au at (0.0000, 0.0000, 0.5000), Cl at (0.0000, 0.0000, 0.2765) and Cl at (0.2109, 0.2109, 0.0000).

The value obtained for the formation energy from raw total energies is -1081.8 meV per atom. The value obtained for the volume is 33.01 Å³ per atom. The energy is -0.13689 Ha/atom. The value obtained for the density of states at the Fermi level is 0.0000 states/eV/atom.

***

(11)
CsTl2AuCl8 | PBE | relaxed

It has space group R32 (No. 155, hexagonal axes), with a = 6.7018 Å, b = 6.7018 Å, c = 31.0373 Å, α = 90.00°, β = 90.00° and γ = 120.00°. The inequivalent atoms are Cs at (0.0000, 0.0000, 0.0000), Tl at (0.0000, 0.0000, 0.2465), Au at (0.0000, 0.0000, 0.5000), Cl at (0.0000, 0.0000, 0.3269) and Cl at (0.0084, 0.3610, 0.2245).

The value obtained for the formation energy from raw total energies is -756.3 meV per atom. The value obtained for the volume is 33.53 Å³ per atom. The energy is -0.10018 Ha/atom.

***

(12)
Cs2TlAuCl6 | PBE | relaxed

It has space group Fm-3m (No. 225), with a = 10.7857 Å, b = 10.7857 Å, c = 10.7857 Å, α = 90.00°, β = 90.00° and γ = 90.00°. The inequivalent atoms are Cs at (0.2500, 0.2500, 0.2500), Tl at (0.0000, 0.0000, 0.0000), Au at (0.0000, 0.0000, 0.5000) and Cl at (0.0000, 0.0000, 0.2593).

The value obtained for the formation energy from raw total energies is -1135.7 meV per atom. The value obtained for the volume is 31.37 Å³ per atom. The energy is -0.10947 Ha/atom. The value obtained for the density of states at the Fermi level is 0.4018 states/eV/atom.